DFT (PBE) results for BaTa2Os after structural relaxation.

abc: 4.982 4.117 4.117
angles: 90.00 90.00 90.00
Positions (direct):
Os: 0.500 0.000 0.500
Ba: 0.500 0.500 0.000
Ta: 0.000 0.000 0.000
Ta: 0.000 0.500 0.500

## Properties
- ΔE_f (eV per atom) = 1.399
- E (eV/atom) = -7.816
- density of states at the Fermi level (states/eV per cell) = 5.4
- polymorph energy (0 for the lowest one) (meV per atom) = 893
- crystal system = tetragonal